(1)
The following is a DFT calculation (GGA-PBE) of a geometry-optimized Ca2AlNi4P3 structure.

abc: 3.894 3.894 9.761
angles: 90.00 90.00 90.00
Element x y z (fractional)
1 Ca 0.500 0.000 0.242
2 Ca 0.000 0.500 0.758
3 Al 0.500 0.500 0.500
4 Ni 0.500 0.500 0.000
5 Ni 0.000 0.000 0.000
6 Ni 0.500 0.000 0.638
7 Ni 0.000 0.500 0.362
8 P 0.000 0.000 0.500
9 P 0.500 0.000 0.871
10 P 0.000 0.500 0.129

Summary:
N(E_F)	0.645	states/eV per atom
E_tot	-5.49	eV/atom
ΔH_f (0 K)	-0.78	eV/atom



(2)
The following is a DFT calculation (GGA-PBE) of a geometry-optimized CaAlNi2Pb structure.

abc: 4.529 5.426 4.529
angles: 90.00 90.00 90.00
Element x y z (fractional)
1 Pb 0.500 0.500 0.500
2 Ni 0.000 0.000 0.500
3 Ni 0.500 0.000 0.000
4 Ca 0.000 0.500 0.000
5 Al 0.000 0.000 0.000

Summary:
N(E_F)	0.862	states/eV per atom
E_tot	-3.82	eV/atom
ΔH_f (0 K)	0.38	eV/atom



(3)
The following is a DFT calculation (GGA-PBE) of a geometry-optimized Ca2Al2NiPd5 structure.

abc: 3.445 10.072 10.072
angles: 90.00 90.00 90.00
Last column: magnetic moment on the atom in μB.
Element x y z (fractional)
1 Ca 0.000 0.675 0.175  0.00
2 Ca 0.000 0.325 0.825  0.00
3 Ca 0.000 0.175 0.325  0.00
4 Ca 0.000 0.825 0.675  0.00
5 Al 0.000 0.127 0.627  0.00
6 Al 0.000 0.873 0.373  0.00
7 Al 0.000 0.627 0.873  0.00
8 Al 0.000 0.373 0.127  0.00
9 Ni 0.000 0.000 0.000  0.25
10 Ni 0.000 0.500 0.500  0.25
11 Pd 0.500 0.199 0.062  0.00
12 Pd 0.500 0.801 0.938  0.00
13 Pd 0.500 0.062 0.801  0.00
14 Pd 0.500 0.699 0.438  0.00
15 Pd 0.500 0.938 0.199  0.00
16 Pd 0.500 0.301 0.562  0.00
17 Pd 0.500 0.562 0.699  0.00
18 Pd 0.500 0.438 0.301  0.00
19 Pd 0.500 0.500 0.000  0.01
20 Pd 0.500 0.000 0.500  0.01

Summary:
N(E_F)	0.841	states/eV per atom
E_tot	-4.90	eV/atom
ΔH_f (0 K)	-0.57	eV/atom



(4)
The following is a DFT calculation (GGA-PBE) of a geometry-optimized CaAlNiPd2 structure.

abc: 4.819 4.316 4.819
angles: 90.00 90.00 90.00
Element x y z (fractional)
1 Ni 0.000 0.000 0.000
2 Ca 0.500 0.500 0.500
3 Al 0.000 0.500 0.000
4 Pd 0.000 0.000 0.500
5 Pd 0.500 0.000 0.000

Summary:
N(E_F)	0.717	states/eV per atom
E_tot	-4.48	eV/atom
ΔH_f (0 K)	-0.10	eV/atom



(5)
The following is a DFT calculation (GGA-PBE) of a geometry-optimized CaAlNiPt2 structure.

abc: 4.542 5.331 4.542
angles: 90.00 90.00 90.00
Element x y z (fractional)
1 Ni 0.500 0.500 0.500
2 Ca 0.000 0.500 0.000
3 Al 0.000 0.000 0.000
4 Pt 0.000 0.000 0.500
5 Pt 0.500 0.000 0.000

Summary:
N(E_F)	0.810	states/eV per atom
E_tot	-4.27	eV/atom
ΔH_f (0 K)	0.45	eV/atom



(6)
The following is a DFT calculation (GGA-PBE) of a geometry-optimized CaAl4NiPt2 structure.

abc: 4.227 4.227 9.342
angles: 76.92 76.92 60.00
Element x y z (fractional)
1 Ca 0.000 0.000 0.000
2 Al 0.408 0.408 0.775
3 Al 0.864 0.864 0.409
4 Al 0.136 0.136 0.591
5 Al 0.592 0.592 0.225
6 Ni 0.500 0.500 0.500
7 Pt 0.766 0.766 0.702
8 Pt 0.234 0.234 0.298

Summary:
N(E_F)	0.423	states/eV per atom
E_tot	-5.14	eV/atom
ΔH_f (0 K)	-0.78	eV/atom



What is the ΔH_f (0 K) in the third record?
-0.57 eV/atom



Among the records above, which one has the highest ΔH_f (0 K)?
CaAlNiPt2